(1)
Entry from the Alexandria database: an optimized crystal structure of RbYbO3 (GGA-PBE).

abc: 4.453 4.453 4.453
angles: 90.00 90.00 90.00
Atoms (fractional coordinates):
Rb  0.000  0.000  0.000
Yb  0.500  0.500  0.500
O  0.000  0.500  0.500
O  0.500  0.000  0.500
O  0.500  0.500  0.000

Values from the calculation:
space group: No. 221
DOS(E_F): 0.948 states/eV per atom
ΔE_f (raw): -1.559 eV/atom



(2)
Entry from the Alexandria database: an optimized crystal structure of Rb5Zn2O5 (GGA-PBE).

abc: 7.420 7.420 9.685
angles: 102.88 102.88 27.82
Atoms (fractional coordinates):
Rb  0.000  0.000  0.000
Rb  0.134  0.134  0.483
Rb  0.233  0.233  0.167
Rb  0.767  0.767  0.833
Rb  0.866  0.866  0.517
Zn  0.469  0.469  0.284
Zn  0.531  0.531  0.716
O  0.106  0.106  0.777
O  0.404  0.404  0.765
O  0.500  0.500  0.500
O  0.596  0.596  0.235
O  0.894  0.894  0.223

Values from the calculation:
space group: No. 12
DOS(E_F): 0.764 states/eV per atom
ΔE_f (raw): -1.093 eV/atom



(3)
Entry from the Alexandria database: an optimized crystal structure of RbZnO3 (GGA-PBE).

abc: 4.071 4.071 4.071
angles: 90.00 90.00 90.00
Atoms (fractional coordinates):
Rb  0.000  0.000  0.000
Zn  0.500  0.500  0.500
O  0.000  0.500  0.500
O  0.500  0.000  0.500
O  0.500  0.500  0.000

Values from the calculation:
space group: No. 221
DOS(E_F): 0.666 states/eV per atom
ΔE_f (raw): -0.445 eV/atom



(4)
Entry from the Alexandria database: an optimized crystal structure of Rb5Zn2O4 (GGA-PBE).

abc: 12.560 12.560 7.180
angles: 90.80 90.80 16.03
Atoms (fractional coordinates):
Rb  0.000  0.000  0.000
Rb  0.332  0.332  0.748
Rb  0.375  0.375  0.278
Rb  0.625  0.625  0.722
Rb  0.668  0.668  0.252
Zn  0.454  0.454  0.583
Zn  0.546  0.546  0.417
O  0.098  0.098  0.387
O  0.475  0.475  0.303
O  0.525  0.525  0.697
O  0.902  0.902  0.613

Values from the calculation:
space group: No. 12
DOS(E_F): 0.297 states/eV per atom
ΔE_f (raw): -0.927 eV/atom



(5)
Entry from the Alexandria database: an optimized crystal structure of RbZnO (GGA-PBE).

abc: 10.871 3.475 7.739
angles: 90.00 90.00 90.00
Atoms (fractional coordinates):
Rb  0.209  0.250  0.060
Rb  0.291  0.750  0.560
Rb  0.709  0.250  0.440
Rb  0.791  0.750  0.940
Zn  0.006  0.750  0.357
Zn  0.494  0.250  0.857
Zn  0.506  0.750  0.143
Zn  0.994  0.250  0.643
O  0.100  0.250  0.420
O  0.400  0.750  0.920
O  0.600  0.250  0.080
O  0.900  0.750  0.580

Values from the calculation:
space group: No. 62
DOS(E_F): 0.481 states/eV per atom
ΔE_f (raw): -0.834 eV/atom
offset from the most stable computed form: 0.231 eV per atom



(6)
Entry from the Alexandria database: an optimized crystal structure of RbZnO3 (GGA-PBE).

abc: 4.229 4.229 4.229
angles: 90.00 90.00 90.00
Atoms (fractional coordinates):
Rb  0.000  0.000  0.000
Zn  0.500  0.500  0.500
O  0.000  0.000  0.500
O  0.000  0.500  0.000
O  0.500  0.000  0.000

Values from the calculation:
space group: No. 221
DOS(E_F): 0.314 states/eV per atom
ΔE_f (raw): 1.096 eV/atom